#i
LaMg2Cu2: single point on PBEsol structure, SCAN.

Values from the calculation:
SG: I4/mmm, No. 139
DOS at the Fermi energy: 0.65 states/eV per atom
Volume: 101.4 Å³/cell

Lattice parameters (Å, degrees): 6.7419 6.7419 6.7419 144.77 144.77 50.67
Closest atoms and distances in Å follow each position.
Atoms (fractional coordinates):
1 La 0.0000 0.0000 0.0000  8 Cu 3.14
2 Mg 0.2500 0.7500 0.5000  4 Cu 2.73, 4 Mg 2.88
3 Mg 0.7500 0.2500 0.5000  4 Cu 2.73, 4 Mg 2.88
4 Cu 0.3991 0.3991 0.0000  1 Cu 2.46, 4 Mg 2.73
5 Cu 0.6009 0.6009 0.0000  1 Cu 2.46, 4 Mg 2.73

=====

#ii
LaMg2Cu2: single point on PBEsol structure, SCAN.

Values from the calculation:
SG: I4/mmm, No. 139
DOS at the Fermi energy: 0.58 states/eV per atom
Volume: 103.8 Å³/cell

Lattice parameters (Å, degrees): 5.7830 5.7830 5.7830 132.28 132.28 69.79
Closest atoms and distances in Å follow each position.
Atoms (fractional coordinates):
1 La 0.0000 0.0000 0.0000  8 Cu 3.33, 10 Mg 3.37-3.58
2 Mg 0.3548 0.3548 0.0000  4 Cu 2.54, 1 Mg 2.76
3 Mg 0.6452 0.6452 0.0000  4 Cu 2.54, 1 Mg 2.76
4 Cu 0.2500 0.7500 0.5000  4 Mg 2.54
5 Cu 0.7500 0.2500 0.5000  4 Mg 2.54

=====

Stability check: which of them is most stable? #i.

=====

#i
LaCuMo: single point on PBEsol structure, SCAN.

Values from the calculation:
SG: F-43m, No. 216
DOS at the Fermi energy: 0.64 states/eV per atom
Volume: 65.6 Å³/cell

Lattice parameters (Å, degrees): 4.5275 4.5275 4.5275 60.00 60.00 60.00
Closest atoms and distances in Å follow each position.
Atoms (fractional coordinates):
1 La 0.0000 0.0000 0.0000  4 Mo 2.77, 4 Cu 2.77
2 Cu 0.2500 0.2500 0.2500  4 La 2.77
3 Mo 0.7500 0.7500 0.7500  4 La 2.77

=====

#ii
LaCuMo: single point on PBEsol structure, SCAN.

Values from the calculation:
SG: P3m1, No. 156
DOS at the Fermi energy: 0.91 states/eV per atom
Volume: 55.1 Å³/cell

Lattice parameters (Å, degrees): 2.9123 2.9123 7.5045 90.00 90.00 120.00
Closest atoms and distances in Å follow each position.
Atoms (fractional coordinates):
1 La 0.0000 0.0000 0.0000  6 La 2.91, 3 Cu 3.17, 3 Mo 3.26
2 Cu 0.6667 0.3333 0.3588  3 Mo 2.63, 6 Cu 2.91
3 Mo 0.3333 0.6667 0.6279  3 Cu 2.63, 6 Mo 2.91

=====

Stability check: which of them is most stable? #ii.

=====

#i
La2CuMo: single point on PBEsol structure, SCAN.

Values from the calculation:
SG: P4/mmm, No. 123
DOS at the Fermi energy: 0.83 states/eV per atom
Volume: 89.1 Å³/cell

Lattice parameters (Å, degrees): 5.0051 5.0051 3.5561 90.00 90.00 90.00
Closest atoms and distances in Å follow each position.
Atoms (fractional coordinates):
1 La 0.0000 0.5000 0.0000  4 Mo 3.07, 4 Cu 3.07
2 La 0.5000 0.0000 0.0000  4 Mo 3.07, 4 Cu 3.07
3 Cu 0.0000 0.0000 0.5000  8 La 3.07
4 Mo 0.5000 0.5000 0.5000  8 La 3.07

=====

#ii
La2CuMo: single point on PBEsol structure, SCAN.

Values from the calculation:
SG: Pm, No. 6
DOS at the Fermi energy: 0.70 states/eV per atom
Volume: 89.4 Å³/cell

Lattice parameters (Å, degrees): 3.4831 4.7612 5.5191 90.00 102.32 90.00
Closest atoms and distances in Å follow each position.
Atoms (fractional coordinates):
1 La 0.0000 0.0000 0.0000  2 Mo 2.74, 2 Cu 2.88
2 La 0.1700 0.5000 0.5531  1 Mo 2.67
3 Cu 0.6441 0.0000 0.4249  7 La 2.88-3.15, 2 Mo 2.98
4 Mo 0.6834 0.5000 0.1072  3 La 2.67-2.74, 2 Cu 2.98

=====

Stability check: which of them is most stable? #ii.

=====

#i
LaCu2Os: single point on PBEsol structure, SCAN.

Values from the calculation:
SG: I4/mmm, No. 139
DOS at the Fermi energy: 0.84 states/eV per atom
Volume: 65.6 Å³/cell

Lattice parameters (Å, degrees): 4.9273 4.9273 4.9273 131.53 131.53 70.97
Closest atoms and distances in Å follow each position.
Atoms (fractional coordinates):
1 La 0.0000 0.0000 0.0000  8 Cu 2.85, 4 Os 2.86
2 Cu 0.2500 0.7500 0.5000  4 Os 2.85, 4 La 2.85, 4 Cu 2.86
3 Cu 0.7500 0.2500 0.5000  4 Os 2.85, 4 La 2.85, 4 Cu 2.86
4 Os 0.5000 0.5000 0.0000  8 Cu 2.85, 4 La 2.86

=====

#ii
LaCu2Os: single point on PBEsol structure, SCAN.

Values from the calculation:
SG: F-43m, No. 216
DOS at the Fermi energy: 0.73 states/eV per atom
Volume: 67.7 Å³/cell

Lattice parameters (Å, degrees): 4.5753 4.5753 4.5753 60.00 60.00 60.00
Closest atoms and distances in Å follow each position.
Atoms (fractional coordinates):
1 La 0.0000 0.0000 0.0000  4 Cu 2.80, 4 Os 2.80
2 Cu 0.2500 0.2500 0.2500  4 Cu 2.80, 4 La 2.80
3 Cu 0.5000 0.5000 0.5000  4 Os 2.80, 4 Cu 2.80
4 Os 0.7500 0.7500 0.7500  4 La 2.80, 4 Cu 2.80

=====

Stability check: which of them is most stable? #i.

=====

#i
LaCu2Os: single point on PBEsol structure, SCAN.

Values from the calculation:
SG: Imm2, No. 44
DOS at the Fermi energy: 0.62 states/eV per atom
Volume: 66.8 Å³/cell

Lattice parameters (Å, degrees): 5.0756 5.0756 5.0756 139.38 127.07 68.78
Closest atoms and distances in Å follow each position.
Atoms (fractional coordinates):
1 La 0.0000 0.0000 0.0000  8 Cu 2.86-2.98, 4 Os 2.89-2.95
2 Cu 0.5152 0.5152 0.0000  2 Cu 2.53, 2 Os 2.68
3 Cu 0.7315 0.2315 0.5000  2 Cu 2.53
4 Os 0.2740 0.7740 0.5000  6 Cu 2.68-2.89, 4 La 2.89-2.95

=====

#ii
LaCu2Os: single point on PBEsol structure, SCAN.

Values from the calculation:
SG: C2/m, No. 12
DOS at the Fermi energy: 0.92 states/eV per atom
Volume: 74.4 Å³/cell

Lattice parameters (Å, degrees): 4.2400 4.2400 5.3557 112.75 112.75 59.68
Closest atoms and distances in Å follow each position.
Atoms (fractional coordinates):
1 La 0.0000 0.0000 0.0000  8 Cu 2.84-3.14
2 Cu 0.1972 0.1972 0.5915  3 Os 2.48, 3 Cu 2.59-2.62
3 Cu 0.8028 0.8028 0.4085  3 Os 2.48, 3 Cu 2.59-2.62
4 Os 0.5000 0.5000 0.5000  6 Cu 2.48

=====

Stability check: which of them is most stable? #ii.

=====

#i
LaCuPb2: single point on PBEsol structure, SCAN.

Values from the calculation:
SG: P4/mmm, No. 123
DOS at the Fermi energy: 0.45 states/eV per atom
Volume: 100.8 Å³/cell

Lattice parameters (Å, degrees): 4.6876 4.6876 4.5887 90.00 90.00 90.00
Closest atoms and distances in Å follow each position.
Atoms (fractional coordinates):
1 La 0.0000 0.0000 0.0000  8 Pb 3.28, 4 Cu 3.31
2 Cu 0.5000 0.5000 0.0000  8 Pb 3.28, 4 La 3.31
3 Pb 0.0000 0.5000 0.5000  4 La 3.28, 4 Cu 3.28, 4 Pb 3.31
4 Pb 0.5000 0.0000 0.5000  4 La 3.28, 4 Cu 3.28, 4 Pb 3.31

=====

#ii
LaCuPb2: single point on PBEsol structure, SCAN.

Values from the calculation:
SG: I-4m2, No. 119
DOS at the Fermi energy: 0.57 states/eV per atom
Volume: 101.6 Å³/cell

Lattice parameters (Å, degrees): 5.7607 5.7607 5.7607 132.61 132.61 69.27
Closest atoms and distances in Å follow each position.
Atoms (fractional coordinates):
1 La 0.0000 0.0000 0.0000  8 Pb 3.27-3.31, 4 Cu 3.31
2 Cu 0.2500 0.7500 0.5000  8 Pb 3.27-3.31, 4 La 3.31
3 Pb 0.5000 0.5000 0.0000  4 La 3.27, 4 Pb 3.31, 4 Cu 3.31
4 Pb 0.7500 0.2500 0.5000  4 Cu 3.27, 4 Pb 3.31, 4 La 3.31

=====

Stability check: which of them is most stable? #i.

=====

#i
LaCuPd3: single point on PBEsol structure, SCAN.

Values from the calculation:
SG: Pm-3m, No. 221
DOS at the Fermi energy: 0.39 states/eV per atom
Volume: 97.5 Å³/cell

Lattice parameters (Å, degrees): 4.6028 4.6028 4.6028 90.00 90.00 90.00
Closest atoms and distances in Å follow each position.
Atoms (fractional coordinates):
1 La 0.0000 0.0000 0.0000  12 Pd 3.25
2 Cu 0.5000 0.5000 0.5000  6 Pd 2.30
3 Pd 0.0000 0.5000 0.5000  2 Cu 2.30
4 Pd 0.5000 0.0000 0.5000  2 Cu 2.30
5 Pd 0.5000 0.5000 0.0000  2 Cu 2.30

=====

#ii
LaCuPd3: single point on PBEsol structure, SCAN.

Values from the calculation:
SG: Pm-3m, No. 221
DOS at the Fermi energy: 0.36 states/eV per atom
Volume: 125.4 Å³/cell

Lattice parameters (Å, degrees): 5.0057 5.0057 5.0057 90.00 90.00 90.00
Closest atoms and distances in Å follow each position.
Atoms (fractional coordinates):
1 La 0.0000 0.0000 0.0000  6 Pd 2.50
2 Cu 0.5000 0.5000 0.5000  12 Pd 3.54
3 Pd 0.0000 0.0000 0.5000  2 La 2.50
4 Pd 0.0000 0.5000 0.0000  2 La 2.50
5 Pd 0.5000 0.0000 0.0000  2 La 2.50

=====

Stability check: which of them is most stable? #i.